No. 1
UInOsRh: relaxed, GGA-PBE.

Unit cell a=6.678 b=6.678 c=6.678 alpha=90.00 beta=90.00 gamma=90.00
Space group F-43m (No. 216)
Asymmetric unit:
U1 0.000 0.000 0.000
In1 0.000 0.000 0.500
Os1 0.250 0.250 0.750
Rh1 0.250 0.250 0.250

Computed properties:
- crystal system = cubic
- size of the total moment (μB/atom) = 0.398

No. 2
InOsRu2: relaxed, GGA-PBE.

Unit cell a=7.240 b=7.240 c=5.445 alpha=90.00 beta=90.00 gamma=90.00
Space group I-42d (No. 122)
Asymmetric unit:
In1 0.000 0.000 0.000
Os1 0.000 0.000 0.500
Ru1 0.203 0.250 0.625

Computed properties:
- crystal system = tetragonal
- size of the total moment (μB/atom) = 0.000

no.,volume (Å³/cell),calculated formation energy (eV/f.u.)
1,297.85,-0.58
2,285.41,3.15